(1)
A plane-wave DFT calculation with PBE-GGA was carried out for a geometry-optimized HfAl2TeI structure.

Unit cell a=5.256 b=5.256 c=5.773 alpha=90.00 beta=90.00 gamma=90.00
Space group P4/mmm (No. 123)
Asymmetric unit:
Hf: 0.000 0.000 0.000 (multiplicity 1)
Al: 0.000 0.500 0.500 (multiplicity 2)
Te: 0.500 0.500 0.500 (multiplicity 1)
I: 0.500 0.500 0.000 (multiplicity 1)

(2)
A plane-wave DFT calculation with PBE-GGA was carried out for a geometry-optimized TbSm2U2Ru5 structure.

Formation enthalpy at 0 K: -246 meV per atom

Unit cell a=10.742 b=10.742 c=3.584 alpha=90.00 beta=90.00 gamma=90.00
Space group P4/mbm (No. 127)
Asymmetric unit:
Tb: 0.000 0.000 0.000 (multiplicity 2)
Sm: 0.175 0.325 0.000 (multiplicity 4)
U: 0.135 0.635 0.000 (multiplicity 4)
Ru: 0.000 0.500 0.500 (multiplicity 2)
Ru: 0.052 0.785 0.500 (multiplicity 8)

Spin magnetization (Bohr magnetons per cell)
0.00, 0.00
Total energy (eV per atom)
-3.148, -8.549
Volume (Å³ per atom)
31.9, 20.7